# TmIn3Ni

An optimized crystal structure of TmIn3Ni (PBE, Alexandria via LeMat-Bulk).

Properties
DFT total energy = -3.9852 eV/atom
magnetic moment = 0.00 μB per formula unit
DOS(E_F) = 1.991 states/eV/f.u.
volume = 22.5 Å³/atom

Cell: 4.5622 4.5805 10.7796 Å, 90.00 90.00 90.00°
Space group Amm2 (No. 38)
Unique sites:
Tm 0.0000 0.0000 0.0000 (multiplicity 2)
In 0.0000 0.0000 0.7109 (multiplicity 2)
In 0.5000 0.0000 0.2017 (multiplicity 2)
In 0.5000 0.0000 0.4800 (multiplicity 2)
Ni 0.0000 0.0000 0.3341 (multiplicity 2)